YPbBr2 after structural relaxation. Source: Alexandria, functional PBE-GGA.

The value obtained for the electronic total energy is -4.33 eV per atom. For the relative energy among the computed polymorphs, the calculation gives 0.304 eV per formula unit. As for the symmetry: Amm2. The value obtained for the formation energy from raw total energies is -949 meV/atom. The value obtained for the density of states at the Fermi level is 0.2223 states/eV/atom.

Lattice parameters (Å, degrees): 5.451 3.868 10.956 90.00 90.00 90.00
Atoms (fractional coordinates):
1 Y 0.000 0.000 0.000
2 Y 0.000 0.500 0.500
3 Pb 0.500 0.000 0.398
4 Pb 0.500 0.500 0.898
5 Br 0.000 0.000 0.699
6 Br 0.000 0.500 0.199
7 Br 0.500 0.000 0.123
8 Br 0.500 0.500 0.623

***

Sb2PtBr after structural relaxation. Source: Alexandria, functional PBE-GGA.

The value obtained for the electronic total energy is -4.03 eV per atom. For the relative energy among the computed polymorphs, the calculation gives 1.482 eV per formula unit. As for the symmetry: Pm. The value obtained for the formation energy from raw total energies is -44 meV/atom. The value obtained for the density of states at the Fermi level is 0.3584 states/eV/atom.

Lattice parameters (Å, degrees): 4.449 4.895 6.203 90.00 108.36 90.00
Atoms (fractional coordinates):
1 Sb 0.000 0.000 0.000
2 Sb 0.405 0.500 0.235
3 Pt 0.784 0.500 0.997
4 Br 0.058 0.000 0.587

***

NbAl6Zn2 after structural relaxation. Source: Alexandria, functional PBE-GGA.

The value obtained for the electronic total energy is -3.94 eV per atom. As for the formation enthalpy at 0 K: -0.04 eV/atom. As for the symmetry: C2/m. The value obtained for the density of states at the Fermi level is 0.2819 states/eV/atom.

Lattice parameters (Å, degrees): 5.117 5.117 7.030 102.38 102.38 55.65
Atoms (fractional coordinates):
1 Nb 0.000 0.000 0.000
2 Al 0.099 0.099 0.674
3 Al 0.218 0.218 0.361
4 Al 0.326 0.326 0.020
5 Al 0.674 0.674 0.980
6 Al 0.782 0.782 0.639
7 Al 0.901 0.901 0.326
8 Zn 0.437 0.437 0.693
9 Zn 0.563 0.563 0.307

***

ZrTi2Co after structural relaxation. Source: Alexandria, functional PBE-GGA.

The value obtained for the electronic total energy is -7.81 eV per atom. For the relative energy among the computed polymorphs, the calculation gives 1.101 eV per formula unit. As for the formation enthalpy at 0 K: 0.05 eV/atom. As for the symmetry: Fm-3m. The value obtained for the density of states at the Fermi level is 1.6538 states/eV/atom.

Lattice parameters (Å, degrees): 6.342 6.342 6.342 90.00 90.00 90.00
Atoms (fractional coordinates):
1 Zr 0.000 0.000 0.000
2 Zr 0.000 0.500 0.500
3 Zr 0.500 0.000 0.500
4 Zr 0.500 0.500 0.000
5 Ti 0.250 0.250 0.250
6 Ti 0.250 0.250 0.750
7 Ti 0.250 0.750 0.250
8 Ti 0.250 0.750 0.750
9 Ti 0.750 0.250 0.250
10 Ti 0.750 0.250 0.750
11 Ti 0.750 0.750 0.250
12 Ti 0.750 0.750 0.750
13 Co 0.000 0.000 0.500
14 Co 0.000 0.500 0.000
15 Co 0.500 0.000 0.000
16 Co 0.500 0.500 0.500

***

FeOsW2 after structural relaxation. Source: Alexandria, functional PBE-GGA.

The value obtained for the electronic total energy is -11.26 eV per atom. For the relative energy among the computed polymorphs, the calculation gives 0.102 eV per formula unit. As for the formation enthalpy at 0 K: 0.14 eV/atom. As for the symmetry: Pmmm. The value obtained for the density of states at the Fermi level is 0.9979 states/eV/atom.

Lattice parameters (Å, degrees): 2.767 3.828 5.474 90.00 90.00 90.00
Atoms (fractional coordinates):
1 Fe 0.000 0.000 0.000
2 Os 0.000 0.000 0.500
3 W 0.500 0.500 0.245
4 W 0.500 0.500 0.755

***

TiTe4Au after structural relaxation. Source: Alexandria, functional PBE-GGA.

The value obtained for the electronic total energy is -4.25 eV per atom. As for the symmetry: C2/m. The value obtained for the formation energy from raw total energies is -292 meV/atom. The value obtained for the density of states at the Fermi level is 0.5455 states/eV/atom.

Lattice parameters (Å, degrees): 13.695 3.945 7.249 90.00 120.94 90.00
Atoms (fractional coordinates):
1 Ti 0.000 0.000 0.000
2 Ti 0.500 0.500 0.000
3 Te 0.124 0.500 0.305
4 Te 0.152 0.000 0.851
5 Te 0.348 0.500 0.149
6 Te 0.376 0.000 0.695
7 Te 0.624 0.000 0.305
8 Te 0.652 0.500 0.851
9 Te 0.848 0.000 0.149
10 Te 0.876 0.500 0.695
11 Au 0.000 0.500 0.500
12 Au 0.500 0.000 0.500

***

RbTeAuI2 after structural relaxation. Source: Alexandria, functional PBE-GGA.

The value obtained for the electronic total energy is -2.48 eV per atom. For the relative energy among the computed polymorphs, the calculation gives 0.319 eV per formula unit. As for the symmetry: P4/mmm. The value obtained for the formation energy from raw total energies is -385 meV/atom. The value obtained for the density of states at the Fermi level is 1.1710 states/eV/atom.

Lattice parameters (Å, degrees): 5.891 5.891 5.558 90.00 90.00 90.00
Atoms (fractional coordinates):
1 Rb 0.000 0.000 0.000
2 Te 0.500 0.500 0.000
3 Au 0.500 0.500 0.500
4 I 0.000 0.500 0.500
5 I 0.500 0.000 0.500